(i)
# Nd4ZnCd

An optimized crystal structure of Nd4ZnCd (GGA-PBE, the Alexandria database).

Properties
As for the magnetic moment: 0.00 μB/cell. The value obtained for the density of states at the Fermi level is 10.42 states/eV/cell. The calculated density is 6.30 g/cm³. The value obtained for the volume is 199.0 Å³ per cell.

abc: 5.165 5.165 7.457
angles: 90.00 90.00 90.00
Space group P4/mmm (No. 123)
One atom of each set of equivalent atoms:
Nd1 0.000 0.500 0.236 (multiplicity 4)
Zn1 0.000 0.000 0.000 (multiplicity 1)
Cd1 0.500 0.500 0.500 (multiplicity 1)


(ii)
# Nd4ZnCd

An optimized crystal structure of Nd4ZnCd (GGA-PBE, the Alexandria database).

Properties
As for the magnetic moment: 0.10 μB/cell. The value obtained for the density of states at the Fermi level is 8.14 states/eV/cell. The calculated density is 6.99 g/cm³. The value obtained for the volume is 179.2 Å³ per cell.

abc: 3.728 3.728 12.892
angles: 90.00 90.00 90.00
Space group P4/mmm (No. 123)
One atom of each set of equivalent atoms:
Nd1 0.000 0.000 0.141 (multiplicity 2)
Nd2 0.500 0.500 0.341 (multiplicity 2)
Zn1 0.500 0.500 0.000 (multiplicity 1)
Cd1 0.000 0.000 0.500 (multiplicity 1)


Which is more stable than every other structure shown? (ii) is more stable than every other one.